A relaxed RbRh2Pb2 crystal, computed with PBE-GGA.

CIF file:
```
data_RbRh2Pb2
_space_group_name_H-M_alt 'P 4/m b m'
_space_group_IT_number 127
_space_group_name_Hall '-P 4 2ab'
_cell_length_a 8.6136
_cell_length_b 8.6136
_cell_length_c 3.1183
_cell_angle_alpha 90.00
_cell_angle_beta 90.00
_cell_angle_gamma 90.00
loop_
_atom_site_label
_atom_site_fract_x
_atom_site_fract_y
_atom_site_fract_z
Rb1 0.0000 0.0000 0.0000
Rh1 0.1520 0.3480 0.5000
Pb1 0.1368 0.6368 0.0000
```

Results
**Formation enthalpy at 0 K**: 161 meV per atom
**Magnetic moment**: 0.00 μB per formula unit